Material: Mg2IrWO6
Method: DFT, GGA+U
State: relaxed

Computed properties:
- Energy: -6.7614 eV per atom
- M_tot: 2.01 μB/cell
- Space-group type: P2_1/c
- V: 217 Å³/cell

a b c (Å): 5.3675 5.2758 9.2713
angles (deg): 55.57 90.00 90.00
With the nearest neighbours (Å) after each atom.
Fractional coordinates of all 20 atoms:
O (0.1690, 0.2687, 0.5528)  1 W 1.96, 1 Ir 2.05, 1 Mg 2.05
O (0.5954, 0.3712, 0.7535)  2 Mg 2.05-2.08, 1 W 2.06, 1 Ir 2.11
Mg (0.5353, 0.2703, 0.2397)  4 O 2.05-2.08
O (0.4046, 0.6288, 0.2465)  2 Mg 2.05-2.08, 1 W 2.06, 1 Ir 2.11
O (0.8179, 0.0904, 0.0797)  1 W 2.02, 1 Mg 2.05, 1 Ir 2.09
O (0.3310, 0.2687, 0.0528)  1 W 1.96, 1 Ir 2.05, 1 Mg 2.05
O (0.3179, 0.9096, 0.4203)  1 W 2.02, 1 Mg 2.05, 1 Ir 2.09
W (0.5000, 0.0000, 0.0000)  6 O 1.96-2.06
O (0.8310, 0.7313, 0.4472)  1 W 1.96, 1 Ir 2.05, 1 Mg 2.05
O (0.6821, 0.0904, 0.5797)  1 W 2.02, 1 Mg 2.05, 1 Ir 2.09
W (0.0000, 0.0000, 0.5000)  6 O 1.96-2.06
Ir (0.5000, 0.5000, 0.5000)  6 O 2.05-2.11
O (0.1821, 0.9096, 0.9203)  1 W 2.02, 1 Mg 2.05, 1 Ir 2.09
O (0.6690, 0.7313, 0.9472)  1 W 1.96, 1 Ir 2.05, 1 Mg 2.05
Mg (0.4647, 0.7297, 0.7603)  4 O 2.05-2.08
Ir (0.0000, 0.5000, 0.0000)  6 O 2.05-2.11
Mg (0.0353, 0.7297, 0.2603)  4 O 2.05-2.08
O (0.9046, 0.3712, 0.2535)  2 Mg 2.05-2.08, 1 W 2.06, 1 Ir 2.11
O (0.0954, 0.6288, 0.7465)  2 Mg 2.05-2.08, 1 W 2.06, 1 Ir 2.11
Mg (0.9647, 0.2703, 0.7397)  4 O 2.05-2.08